Ce8Ga2Au: relaxed, GGA-PBE.

Summary:
The crystal system is monoclinic. As for the formation energy: -0.26 eV per atom.

abc: 7.979 7.979 7.713
angles: 112.58 112.58 37.33
Element x y z (fractional)
Ce: 0.009 0.009 0.262
Ce: 0.185 0.185 0.752
Ce: 0.313 0.313 0.578
Ce: 0.429 0.429 0.062
Ce: 0.571 0.571 0.938
Ce: 0.687 0.687 0.422
Ce: 0.815 0.815 0.248
Ce: 0.991 0.991 0.738
Ga: 0.183 0.183 0.145
Ga: 0.817 0.817 0.855
Au: 0.500 0.500 0.500

=====

CeGa3Au3: relaxed, GGA-PBE.

Summary:
The crystal system is cubic. As for the formation energy: -0.15 eV per atom.

abc: 7.035 7.035 7.035
angles: 90.00 90.00 90.00
Element x y z (fractional)
Ce: 0.000 0.000 0.000
Ce: 0.500 0.500 0.500
Ga: 0.000 0.250 0.500
Ga: 0.000 0.750 0.500
Ga: 0.250 0.500 0.000
Ga: 0.500 0.000 0.250
Ga: 0.500 0.000 0.750
Ga: 0.750 0.500 0.000
Au: 0.000 0.500 0.250
Au: 0.000 0.500 0.750
Au: 0.250 0.000 0.500
Au: 0.500 0.250 0.000
Au: 0.500 0.750 0.000
Au: 0.750 0.000 0.500

=====

Ce4Ga3Au: relaxed, GGA-PBE.

Summary:
The crystal system is orthorhombic. As for the formation energy: -0.51 eV per atom.

abc: 4.415 4.519 9.048
angles: 90.00 90.00 90.00
Element x y z (fractional)
Ce: 0.000 0.000 0.000
Ce: 0.000 0.000 0.500
Ce: 0.000 0.500 0.250
Ce: 0.000 0.500 0.750
Ga: 0.500 0.000 0.246
Ga: 0.500 0.000 0.754
Ga: 0.500 0.500 0.000
Au: 0.500 0.500 0.500

=====

Ce7Ga5Au: relaxed, GGA-PBE.

Summary:
The crystal system is orthorhombic. As for the formation energy: -0.32 eV per atom.

abc: 7.924 7.924 7.924
angles: 137.30 101.91 93.37
Element x y z (fractional)
Ce: 0.000 0.000 0.000
Ce: 0.266 0.266 0.000
Ce: 0.334 0.643 0.691
Ce: 0.470 0.135 0.335
Ce: 0.800 0.135 0.665
Ce: 0.845 0.345 0.500
Ce: 0.952 0.643 0.309
Ga: 0.156 0.147 0.517
Ga: 0.156 0.639 0.009
Ga: 0.378 0.878 0.500
Ga: 0.630 0.147 0.991
Ga: 0.630 0.639 0.483
Au: 0.710 0.710 0.000

=====

Ce5Ga4Au: relaxed, GGA-PBE.

Summary:
The crystal system is tetragonal. As for the formation energy: -0.47 eV per atom.

abc: 3.850 3.850 16.114
angles: 90.00 90.00 90.00
Element x y z (fractional)
Ce: 0.000 0.000 0.000
Ce: 0.000 0.000 0.202
Ce: 0.000 0.000 0.391
Ce: 0.000 0.000 0.609
Ce: 0.000 0.000 0.798
Ga: 0.500 0.500 0.102
Ga: 0.500 0.500 0.295
Ga: 0.500 0.500 0.705
Ga: 0.500 0.500 0.898
Au: 0.500 0.500 0.500

=====

CeGa3Au: relaxed, GGA-PBE.

Summary:
The crystal system is tetragonal. As for the formation energy: -0.56 eV per atom.

abc: 6.189 6.189 6.189
angles: 138.71 138.71 59.82
Element x y z (fractional)
Ce: 0.000 0.000 0.000
Ga: 0.234 0.734 0.500
Ga: 0.594 0.594 0.000
Ga: 0.734 0.234 0.500
Au: 0.362 0.362 0.000

=====

Number 1: DOS at the Fermi energy 28.80 states/eV per cell. Number 2: DOS at the Fermi energy 21.63 states/eV per cell. Number 3: DOS at the Fermi energy 13.18 states/eV per cell. Number 4: DOS at the Fermi energy 27.78 states/eV per cell. Number 5: DOS at the Fermi energy 24.70 states/eV per cell. Number 6: DOS at the Fermi energy 6.84 states/eV per cell.